Entry 1:
Here is a relaxed HfTiCo2 crystal from Alexandria via LeMat-Bulk. Energies are from PBEsol.

a = 6.0464 Å, b = 6.0464 Å, c = 6.0464 Å
α = 90.00°, β = 90.00°, γ = 90.00°
Closest atoms and distances in Å follow each position.
Space group Fm-3m (No. 225)
Symmetry-distinct sites (fractional):
Hf: 0.0000 0.0000 0.0000  8 Co 2.62
Ti: 0.0000 0.0000 0.5000  8 Co 2.62
Co: 0.2500 0.2500 0.2500  4 Hf 2.62, 4 Ti 2.62

## Properties
* ΔE_f: -0.375 eV/atom
* V: 221.05 Å³/cell
* density: 10.343 g/cm³

***

Entry 2:
Here is a relaxed CaBe3Pd crystal from Alexandria via LeMat-Bulk. Energies are from PBEsol.

a = 4.3040 Å, b = 4.3040 Å, c = 4.3040 Å
α = 90.00°, β = 90.00°, γ = 90.00°
Closest atoms and distances in Å follow each position.
Space group Pm-3m (No. 221)
Symmetry-distinct sites (fractional):
Ca: 0.0000 0.0000 0.0000  12 Be 3.04
Be: 0.0000 0.5000 0.5000  2 Pd 2.15
Pd: 0.5000 0.5000 0.5000  6 Be 2.15

## Properties
* ΔE_f: 0.024 eV/atom
* V: 79.73 Å³/cell
* density: 3.614 g/cm³

***

Entry 3:
Here is a relaxed RbRhS2 crystal from Alexandria via LeMat-Bulk. Energies are from PBEsol.

a = 7.1781 Å, b = 7.1781 Å, c = 7.4675 Å
α = 90.00°, β = 90.00°, γ = 90.00°
Closest atoms and distances in Å follow each position.
Space group I-42d (No. 122)
Symmetry-distinct sites (fractional):
Rb: 0.0000 0.0000 0.0000  8 S 3.34-3.45, 2 Rh 3.73
Rh: 0.0000 0.0000 0.5000  4 S 2.23
S: 0.1297 0.7500 0.6250  2 Rh 2.23

## Properties
* V: 384.76 Å³/cell
* density: 4.359 g/cm³
* formation energy (no corrections): -0.64 eV/atom

***

Entry 4:
Here is a relaxed SiNiSe3 crystal from Alexandria via LeMat-Bulk. Energies are from PBEsol.

a = 4.7054 Å, b = 4.7054 Å, c = 4.7054 Å
α = 90.00°, β = 90.00°, γ = 90.00°
Closest atoms and distances in Å follow each position.
Space group Pm-3m (No. 221)
Symmetry-distinct sites (fractional):
Si: 0.0000 0.0000 0.0000  6 Se 2.35
Ni: 0.5000 0.5000 0.5000  12 Se 3.33
Se: 0.0000 0.0000 0.5000  2 Si 2.35

## Properties
* V: 104.18 Å³/cell
* density: 5.159 g/cm³
* formation energy (no corrections): 0.74 eV/atom

***

Entry 5:
Here is a relaxed LaSiPt3 crystal from Alexandria via LeMat-Bulk. Energies are from PBEsol.

a = 5.0945 Å, b = 5.0945 Å, c = 5.0945 Å
α = 90.00°, β = 90.00°, γ = 90.00°
Closest atoms and distances in Å follow each position.
Space group Pm-3m (No. 221)
Symmetry-distinct sites (fractional):
La: 0.0000 0.0000 0.0000  6 Pt 2.55
Si: 0.5000 0.5000 0.5000  12 Pt 3.60
Pt: 0.0000 0.0000 0.5000  2 La 2.55

## Properties
* V: 132.22 Å³/cell
* density: 9.447 g/cm³
* formation energy (no corrections): 1.37 eV/atom

***

Entry 6:
Here is a relaxed ZrMo2 crystal from Alexandria via LeMat-Bulk. Energies are from PBEsol.

a = 3.3574 Å, b = 3.3574 Å, c = 19.5636 Å
α = 90.00°, β = 90.00°, γ = 90.00°
Closest atoms and distances in Å follow each position.
Space group I4_1/amd (No. 141, origin choice 2)
Symmetry-distinct sites (fractional):
Zr: 0.0000 0.2500 0.3750  8 Mo 2.86
Mo: 0.0000 0.2500 0.7939  2 Mo 2.40

## Properties
* distance to the lowest polymorph of the same formula: 619 meV per atom
* ΔE_f: 0.492 eV/atom
* V: 220.52 Å³/cell
* density: 8.527 g/cm³

***

Entry 7:
Here is a relaxed Ba3As2 crystal from Alexandria via LeMat-Bulk. Energies are from PBEsol.

a = 6.0880 Å, b = 6.0880 Å, c = 6.0880 Å
α = 90.00°, β = 90.00°, γ = 90.00°
Closest atoms and distances in Å follow each position.
Space group Pm-3m (No. 221)
Symmetry-distinct sites (fractional):
Ba: 0.0000 0.0000 0.5000  2 As 3.04
As: 0.0000 0.0000 0.0000  6 Ba 3.04
As: 0.5000 0.5000 0.5000  12 Ba 4.30

## Properties
* distance to the lowest polymorph of the same formula: 442 meV per atom
* ΔE_f: -0.601 eV/atom
* V: 225.64 Å³/cell
* density: 4.135 g/cm³

***

Entry 8:
Here is a relaxed NaTi4O8 crystal from Alexandria via LeMat-Bulk. Energies are from PBEsol.

a = 6.0087 Å, b = 6.9875 Å, c = 10.2635 Å
α = 101.22°, β = 91.57°, γ = 94.48°
Closest atoms and distances in Å follow each position.
Space group P1 (No. 1)
Symmetry-distinct sites (fractional):
Na: 0.0000 0.0000 0.0000  3 O 2.03-2.27
Na: 0.2801 0.0116 0.2743  3 O 2.02-2.24
Na: 0.5669 0.8655 0.6490  3 O 2.02-2.19
Ti: 0.0296 0.1312 0.5415  6 O 1.93-2.04
Ti: 0.0385 0.4499 0.0857  6 O 1.96-2.14
Ti: 0.0657 0.7334 0.6271  6 O 1.92-2.07
Ti: 0.2692 0.1391 0.7875  6 O 1.95-2.04
Ti: 0.2866 0.4573 0.3385  5 O 1.91-2.05
Ti: 0.3230 0.7340 0.8763  6 O 1.94-2.04
Ti: 0.5191 0.1398 0.0352  6 O 1.94-2.05
Ti: 0.5444 0.4173 0.5771  6 O 1.95-2.14
Ti: 0.5628 0.7344 0.1216  6 O 1.94-2.05
Ti: 0.7692 0.1436 0.2912  6 O 1.94-2.08
Ti: 0.7969 0.4361 0.8297  6 O 1.98-2.06
Ti: 0.8030 0.7431 0.3721  6 O 1.89-2.06
O: 0.0090 0.2551 0.7283  3 Ti 1.95-2.03
O: 0.0263 0.2898 0.2286  3 Ti 1.98-2.05
O: 0.0619 0.5815 0.9321  3 Ti 1.98-1.99
O: 0.0775 0.6189 0.4334  3 Ti 1.91-2.06
O: 0.0925 0.8901 0.8033  3 Ti 1.92-2.04, 1 Na 2.12
O: 0.2547 0.9833 0.6027  3 Ti 1.93-2.07
O: 0.2568 0.2539 0.9792  3 Ti 1.94-2.14
O: 0.2740 0.2866 0.4732  3 Ti 1.98-1.99
O: 0.3091 0.5853 0.1836  3 Ti 1.96-1.97
O: 0.3262 0.6147 0.6835  3 Ti 1.95-2.14
O: 0.3285 0.8939 0.0590  3 Ti 1.98-2.05
O: 0.5005 0.9801 0.8569  3 Ti 1.94-2.04
O: 0.5112 0.2595 0.2292  3 Ti 1.95-2.18
O: 0.5267 0.2898 0.7324  3 Ti 1.96-1.98
O: 0.5601 0.5843 0.4401  3 Ti 1.97-1.99
O: 0.5809 0.6169 0.9341  3 Ti 1.94-2.06
O: 0.5828 0.8890 0.3134  3 Ti 1.89-2.08
O: 0.7289 0.9812 0.1123  3 Ti 1.94-1.99, 1 Na 2.03
O: 0.7566 0.2526 0.4807  3 Ti 1.95-2.04
O: 0.7791 0.2916 0.9829  3 Ti 1.97-2.03
O: 0.8076 0.5794 0.6808  3 Ti 1.97-2.02
O: 0.8279 0.6206 0.1850  3 Ti 1.96-1.98
O: 0.8564 0.8902 0.5560  3 Ti 1.94-1.97, 1 Na 2.02
O: 0.9801 0.9830 0.3557  3 Ti 1.94-1.99, 1 Na 2.02

## Properties
* distance to the lowest polymorph of the same formula: 43 meV per atom
* V: 421.00 Å³/cell
* density: 4.052 g/cm³
* formation energy (no corrections): -2.86 eV/atom

***

Entry 9:
Here is a relaxed PbCN2 crystal from Alexandria via LeMat-Bulk. Energies are from PBEsol.

a = 3.9226 Å, b = 3.9226 Å, c = 15.2786 Å
α = 90.00°, β = 90.00°, γ = 120.00°
Closest atoms and distances in Å follow each position.
Space group R-3m (No. 166, hexagonal axes)
Symmetry-distinct sites (fractional):
Pb: 0.0000 0.0000 0.0000  6 N 2.62
C: 0.0000 0.0000 0.5000  2 N 1.24
N: 0.0000 0.0000 0.4190  1 C 1.24

## Properties
* distance to the lowest polymorph of the same formula: 9 meV per atom
* V: 203.60 Å³/cell
* density: 6.049 g/cm³
* formation energy (no corrections): 0.09 eV/atom

***

Entry 10:
Here is a relaxed ReH8I6N2 crystal from Alexandria via LeMat-Bulk. Energies are from PBEsol.

a = 7.6535 Å, b = 7.6535 Å, c = 11.8551 Å
α = 90.00°, β = 90.00°, γ = 90.00°
Closest atoms and distances in Å follow each position.
Space group P4/mnc (No. 128)
Symmetry-distinct sites (fractional):
Re: 0.0000 0.0000 0.0000  6 I 2.71-2.73
H: 0.0018 0.3895 0.1990  1 N 1.04
I: 0.0000 0.0000 0.2300  1 Re 2.73, 4 H 3.00
I: 0.1927 0.2972 0.0000  1 Re 2.71, 2 H 2.86
N: 0.0000 0.5000 0.2500  4 H 1.04

## Properties
* E_tot: -4.276 eV per atom
* V: 694.43 Å³/cell
* density: 4.705 g/cm³

***

Entry 11:
Here is a relaxed KTlIr2 crystal from Alexandria via LeMat-Bulk. Energies are from PBEsol.

a = 8.6033 Å, b = 2.8554 Å, c = 7.6127 Å
α = 90.00°, β = 96.46°, γ = 90.00°
Closest atoms and distances in Å follow each position.
Space group Cm (No. 8)
Symmetry-distinct sites (fractional):
K: 0.0000 0.0000 0.0000  2 K 2.86
Tl: 0.2664 0.5000 0.3470  2 Tl 2.86, 5 Ir 2.96-3.10
Ir: 0.0041 0.5000 0.5948  3 Ir 2.42-2.53
Ir: 0.2431 0.0000 0.6835  3 Ir 2.42-2.53

## Properties
* distance to the lowest polymorph of the same formula: 0 meV per atom
* ΔE_f: 0.408 eV/atom
* V: 185.83 Å³/cell
* density: 11.222 g/cm³

***

Entry 12:
Here is a relaxed CaLa3Bi crystal from Alexandria via LeMat-Bulk. Energies are from PBEsol.

a = 5.5769 Å, b = 5.5769 Å, c = 5.5769 Å
α = 90.00°, β = 90.00°, γ = 90.00°
Closest atoms and distances in Å follow each position.
Space group Pm-3m (No. 221)
Symmetry-distinct sites (fractional):
Ca: 0.0000 0.0000 0.0000  6 La 2.79
La: 0.0000 0.0000 0.5000  2 Ca 2.79
Bi: 0.5000 0.5000 0.5000  12 La 3.94

## Properties
* ΔE_f: 0.511 eV/atom
* V: 173.45 Å³/cell
* density: 6.374 g/cm³

***

Entry 13:
Here is a relaxed MnAs2Ru crystal from Alexandria via LeMat-Bulk. Energies are from PBEsol.

a = 4.6123 Å, b = 2.9407 Å, c = 8.6184 Å
α = 90.00°, β = 90.00°, γ = 90.00°
Closest atoms and distances in Å follow each position.
Space group Amm2 (No. 38)
Symmetry-distinct sites (fractional):
Mn: 0.0000 0.0000 0.0000  5 As 2.34-2.53
As: 0.0000 0.0000 0.7111  3 Mn 2.34-2.49, 2 Ru 2.52
As: 0.5000 0.0000 0.8786  3 Ru 2.36-2.47, 2 Mn 2.53
Ru: 0.5000 0.0000 0.5922  5 As 2.36-2.52

## Properties
* ΔE_f: -0.060 eV/atom
* V: 116.90 Å³/cell
* density: 8.689 g/cm³